# 1
# HgP2Au

HgP2Au after structural relaxation (PBEsol, Alexandria via LeMat-Bulk).

Properties
Theoretical density (g cm⁻³): 10.3
Formation enthalpy at 0 K (eV per atom): 0.264
Crystal system: orthorhombic
Magnetization (μB/f.u.): 0.00

abc: 3.2562 3.9410 11.5331
angles: 90.00 90.00 90.00
With the nearest neighbours (Å) after each atom.
Space group Imm2 (No. 44)
Asymmetric unit:
Hg1 0.0000 0.0000 0.0000 [2 per cell]  2 Au 2.89, 4 P 2.90
P1 0.0000 0.0000 0.3816 [2 per cell]  2 P 2.28
P2 0.0000 0.5000 0.7435 [2 per cell]  2 P 2.28
Au1 0.0000 0.5000 0.1832 [2 per cell]  4 P 2.65, 2 Hg 2.89


# 2
# HgP2Au

HgP2Au after structural relaxation (PBEsol, Alexandria via LeMat-Bulk).

Properties
Theoretical density (g cm⁻³): 10.7
Formation enthalpy at 0 K (eV per atom): 0.436
Crystal system: orthorhombic
Magnetization (μB/f.u.): 0.00

abc: 2.7438 5.1549 10.1168
angles: 90.00 90.00 90.00
With the nearest neighbours (Å) after each atom.
Space group Immm (No. 71)
Asymmetric unit:
Hg1 0.0000 0.0000 0.0000 [2 per cell]  2 Hg 2.74, 4 Au 2.92
P1 0.0000 0.5000 0.2253 [4 per cell]  2 Au 2.66, 6 P 2.74-2.96
Au1 0.0000 0.0000 0.5000 [2 per cell]  4 P 2.66, 2 Au 2.74, 4 Hg 2.92


# 3
# HgP2Au

HgP2Au after structural relaxation (PBEsol, Alexandria via LeMat-Bulk).

Properties
Theoretical density (g cm⁻³): 8.5
Formation enthalpy at 0 K (eV per atom): 0.340
Crystal system: tetragonal
Magnetization (μB/f.u.): 0.00

abc: 5.6125 5.6125 11.4061
angles: 90.00 90.00 90.00
With the nearest neighbours (Å) after each atom.
Space group I-42d (No. 122)
Asymmetric unit:
Hg1 0.0000 0.0000 0.0000 [4 per cell]  4 P 2.54
P1 0.2218 0.2500 0.6250 [8 per cell]  2 Au 2.36, 2 Hg 2.54
Au1 0.0000 0.0000 0.5000 [4 per cell]  4 P 2.36


# 4
# HgPAu2

HgPAu2 after structural relaxation (PBEsol, Alexandria via LeMat-Bulk).

Properties
Theoretical density (g cm⁻³): 13.7
Formation enthalpy at 0 K (eV per atom): 0.160
Crystal system: trigonal
Magnetization (μB/f.u.): 0.00

abc: 3.5928 3.5928 20.3434
angles: 90.00 90.00 120.00
With the nearest neighbours (Å) after each atom.
Space group R-3m (No. 166, hexagonal axes)
Asymmetric unit:
Hg1 0.0000 0.0000 0.0000 [3 per cell]  6 Au 2.84
P1 0.0000 0.0000 0.5000 [3 per cell]  6 Au 2.53
Au1 0.0000 0.0000 0.2382 [6 per cell]  3 P 2.53, 3 Hg 2.84


# 5
# Hg2PbAu

Hg2PbAu after structural relaxation (PBEsol, Alexandria via LeMat-Bulk).

Properties
Theoretical density (g cm⁻³): 14.6
Formation enthalpy at 0 K (eV per atom): 0.028
Crystal system: monoclinic
Magnetization (μB/f.u.): 0.00

abc: 11.9493 3.1274 5.5011
angles: 90.00 117.12 90.00
With the nearest neighbours (Å) after each atom.
Space group C2/m (No. 12)
Asymmetric unit:
Hg1 0.2280 0.0000 0.2281 [4 per cell]  2 Au 2.89, 6 Hg 3.13-3.20
Pb1 0.0000 0.0000 0.5000 [2 per cell]  2 Pb 3.13, 4 Au 3.16, 4 Hg 3.29
Au1 0.0000 0.5000 0.0000 [2 per cell]  4 Hg 2.89, 2 Au 3.13, 4 Pb 3.16


# 6
# Hg2PbAu

Hg2PbAu after structural relaxation (PBEsol, Alexandria via LeMat-Bulk).

Properties
Theoretical density (g cm⁻³): 14.7
Formation enthalpy at 0 K (eV per atom): 0.074
Crystal system: cubic
Magnetization (μB/f.u.): 0.00

abc: 7.1439 7.1439 7.1439
angles: 90.00 90.00 90.00
With the nearest neighbours (Å) after each atom.
Space group F-43m (No. 216)
Asymmetric unit:
Hg1 0.0000 0.0000 0.0000 [4 per cell]  4 Hg 3.09, 4 Au 3.09
Hg2 0.2500 0.2500 0.2500 [4 per cell]  4 Hg 3.09, 4 Pb 3.09
Pb1 0.0000 0.0000 0.5000 [4 per cell]  4 Au 3.09, 4 Hg 3.09
Au1 0.2500 0.2500 0.7500 [4 per cell]  4 Hg 3.09, 4 Pb 3.09


# 7
# Hg2PbAu

Hg2PbAu after structural relaxation (PBEsol, Alexandria via LeMat-Bulk).

Properties
Theoretical density (g cm⁻³): 14.6
Formation enthalpy at 0 K (eV per atom): 0.023
Crystal system: tetragonal
Magnetization (μB/f.u.): 0.00

abc: 3.3901 3.3901 7.9882
angles: 90.00 90.00 90.00
With the nearest neighbours (Å) after each atom.
Space group P4mm (No. 99)
Asymmetric unit:
Hg1 0.0000 0.0000 0.0000 [1 per cell]  8 Hg 3.12-3.39, 4 Pb 3.38
Hg2 0.5000 0.5000 0.2502 [1 per cell]  4 Au 2.97, 4 Hg 3.12
Pb1 0.5000 0.5000 0.7018 [1 per cell]  4 Au 3.03, 4 Hg 3.38, 4 Pb 3.39
Au1 0.0000 0.0000 0.4697 [1 per cell]  4 Hg 2.97, 4 Pb 3.03


# 8
# Hg2PbAu

Hg2PbAu after structural relaxation (PBEsol, Alexandria via LeMat-Bulk).

Properties
Theoretical density (g cm⁻³): 14.2
Formation enthalpy at 0 K (eV per atom): 0.030
Crystal system: monoclinic
Magnetization (μB/f.u.): 0.00

abc: 8.9040 3.6673 5.9822
angles: 90.00 104.72 90.00
With the nearest neighbours (Å) after each atom.
Space group Cm (No. 8)
Asymmetric unit:
Hg1 0.0000 0.0000 0.0000 [2 per cell]  3 Hg 2.90-2.96, 3 Pb 3.11-3.18, 2 Au 3.24
Hg2 0.2484 0.0000 0.7659 [2 per cell]  3 Au 2.86-2.90, 3 Hg 2.90-2.96
Pb1 0.2659 0.5000 0.3072 [2 per cell]  3 Au 2.93-3.04, 3 Hg 3.11-3.18
Au1 0.0078 0.5000 0.5556 [2 per cell]  3 Hg 2.86-2.90, 3 Pb 2.93-3.04


# 9
# Hg2PbAu2

Hg2PbAu2 after structural relaxation (PBEsol, Alexandria via LeMat-Bulk).

Properties
Theoretical density (g cm⁻³): 14.8
Formation enthalpy at 0 K (eV per atom): 0.020
Crystal system: tetragonal
Magnetization (μB/f.u.): 0.00
E above lowest polymorph (meV per atom): 0.0

abc: 4.1061 4.1061 13.3753
angles: 90.00 90.00 90.00
With the nearest neighbours (Å) after each atom.
Space group I4/mmm (No. 139)
Asymmetric unit:
Hg1 0.0000 0.5000 0.2500 [4 per cell]  4 Au 2.88, 4 Hg 2.90
Pb1 0.0000 0.0000 0.0000 [2 per cell]  8 Au 3.19
Au1 0.0000 0.0000 0.4007 [4 per cell]  1 Au 2.66, 4 Hg 2.88


# 10
# Hg2PbAu

Hg2PbAu after structural relaxation (PBEsol, Alexandria via LeMat-Bulk).

Properties
Theoretical density (g cm⁻³): 14.0
Formation enthalpy at 0 K (eV per atom): 0.025
Crystal system: monoclinic
Magnetization (μB/f.u.): 0.00

abc: 4.0487 5.0084 4.7269
angles: 90.00 96.34 90.00
With the nearest neighbours (Å) after each atom.
Space group P2/m (No. 10)
Asymmetric unit:
Hg1 0.2173 0.0000 0.2704 [2 per cell]  2 Au 2.90, 3 Hg 2.94-2.98, 2 Pb 3.09
Pb1 0.5000 0.5000 0.0000 [1 per cell]  4 Au 2.94-3.28, 4 Hg 3.09
Au1 0.0000 0.5000 0.5000 [1 per cell]  4 Hg 2.90, 2 Pb 2.94


# 11
# Hg2PbAu

Hg2PbAu after structural relaxation (PBEsol, Alexandria via LeMat-Bulk).

Properties
Theoretical density (g cm⁻³): 14.1
Formation enthalpy at 0 K (eV per atom): 0.012
Crystal system: monoclinic
Magnetization (μB/f.u.): 0.00

abc: 4.1181 4.0486 5.9017
angles: 90.00 105.49 90.00
With the nearest neighbours (Å) after each atom.
Space group Pm (No. 6)
Asymmetric unit:
Hg1 0.0000 0.0000 0.0000 [1 per cell]  2 Au 2.93-3.10, 4 Hg 3.00-3.01
Hg2 0.4472 0.5000 0.8546 [1 per cell]  2 Au 2.87, 2 Pb 3.00-3.09, 4 Hg 3.00-3.01
Pb1 0.6366 0.5000 0.3812 [1 per cell]  4 Au 2.90-3.07, 2 Hg 3.00-3.09
Au1 0.1583 0.0000 0.5148 [1 per cell]  4 Hg 2.87-3.10, 4 Pb 2.90-3.07


# 12
# HgPb3Au

HgPb3Au after structural relaxation (PBEsol, Alexandria via LeMat-Bulk).

Properties
Theoretical density (g cm⁻³): 10.4
Formation enthalpy at 0 K (eV per atom): 0.345
Crystal system: cubic
Magnetization (μB/f.u.): 0.00

abc: 5.4654 5.4654 5.4654
angles: 90.00 90.00 90.00
With the nearest neighbours (Å) after each atom.
Space group Pm-3m (No. 221)
Asymmetric unit:
Hg1 0.0000 0.0000 0.0000 [1 per cell]  12 Pb 3.86
Pb1 0.0000 0.5000 0.5000 [3 per cell]  2 Au 2.73
Au1 0.5000 0.5000 0.5000 [1 per cell]  6 Pb 2.73


# 13
# Hg2PbAu2

Hg2PbAu2 after structural relaxation (PBEsol, Alexandria via LeMat-Bulk).

Properties
Theoretical density (g cm⁻³): 14.8
Formation enthalpy at 0 K (eV per atom): 0.067
Crystal system: tetragonal
Magnetization (μB/f.u.): 0.00
E above lowest polymorph (meV per atom): 47.1

abc: 3.9260 3.9260 14.5675
angles: 90.00 90.00 90.00
With the nearest neighbours (Å) after each atom.
Space group I4/mmm (No. 139)
Asymmetric unit:
Hg1 0.0000 0.0000 0.1053 [4 per cell]  4 Au 2.88, 1 Hg 3.07, 4 Pb 3.17
Pb1 0.0000 0.0000 0.5000 [2 per cell]  8 Hg 3.17
Au1 0.0000 0.5000 0.2500 [4 per cell]  4 Au 2.78, 4 Hg 2.88


# 14
# TcHgPb2Au

TcHgPb2Au after structural relaxation (PBEsol, Alexandria via LeMat-Bulk).

Properties
Theoretical density (g cm⁻³): 10.2
Formation enthalpy at 0 K (eV per atom): 1.238
Crystal system: tetragonal
Magnetization (μB/f.u.): 3.75

abc: 5.3875 5.3875 5.0886
angles: 90.00 90.00 90.00
With the nearest neighbours (Å) after each atom.
Space group P4/mmm (No. 123)
Asymmetric unit:
Tc1 0.0000 0.0000 0.0000 [1 per cell]  8 Pb 3.71, 4 Hg 3.81
Hg1 0.5000 0.5000 0.0000 [1 per cell]  2 Au 2.54
Pb1 0.0000 0.5000 0.5000 [2 per cell]  2 Au 2.69
Au1 0.5000 0.5000 0.5000 [1 per cell]  2 Hg 2.54, 4 Pb 2.69


# 15
# Hg3PdAu

Hg3PdAu after structural relaxation (PBEsol, Alexandria via LeMat-Bulk).

Properties
Theoretical density (g cm⁻³): 11.0
Formation enthalpy at 0 K (eV per atom): 0.617
Crystal system: cubic
Magnetization (μB/f.u.): 0.00

abc: 5.1507 5.1507 5.1507
angles: 90.00 90.00 90.00
With the nearest neighbours (Å) after each atom.
Space group Pm-3m (No. 221)
Asymmetric unit:
Hg1 0.0000 0.0000 0.5000 [3 per cell]  2 Au 2.58
Pd1 0.5000 0.5000 0.5000 [1 per cell]  12 Hg 3.64
Au1 0.0000 0.0000 0.0000 [1 per cell]  6 Hg 2.58


# 16
# HgPd2Au2

HgPd2Au2 after structural relaxation (PBEsol, Alexandria via LeMat-Bulk).

Properties
Theoretical density (g cm⁻³): 14.6
Formation enthalpy at 0 K (eV per atom): 0.135
Crystal system: tetragonal
Magnetization (μB/f.u.): 0.00

abc: 3.7193 3.7193 13.2904
angles: 90.00 90.00 90.00
With the nearest neighbours (Å) after each atom.
Space group I4/mmm (No. 139)
Asymmetric unit:
Hg1 0.0000 0.0000 0.0000 [2 per cell]  8 Pd 2.93
Pd1 0.0000 0.0000 0.4025 [4 per cell]  1 Pd 2.59, 4 Au 2.75
Au1 0.0000 0.5000 0.2500 [4 per cell]  4 Au 2.63, 4 Pd 2.75


# 17
# HgPd3Au

HgPd3Au after structural relaxation (PBEsol, Alexandria via LeMat-Bulk).

Properties
Theoretical density (g cm⁻³): 10.3
Formation enthalpy at 0 K (eV per atom): 0.972
Crystal system: cubic
Magnetization (μB/f.u.): 0.00

abc: 4.8680 4.8680 4.8680
angles: 90.00 90.00 90.00
With the nearest neighbours (Å) after each atom.
Space group Pm-3m (No. 221)
Asymmetric unit:
Hg1 0.0000 0.0000 0.0000 [1 per cell]  12 Pd 3.44
Pd1 0.0000 0.5000 0.5000 [3 per cell]  2 Au 2.43
Au1 0.5000 0.5000 0.5000 [1 per cell]  6 Pd 2.43


# 18
# PmHgAu2

PmHgAu2 after structural relaxation (PBEsol, Alexandria via LeMat-Bulk).

Properties
Theoretical density (g cm⁻³): 14.6
Formation enthalpy at 0 K (eV per atom): -0.608
Crystal system: cubic
Magnetization (μB/f.u.): 0.00

abc: 6.9625 6.9625 6.9625
angles: 90.00 90.00 90.00
With the nearest neighbours (Å) after each atom.
Space group Fm-3m (No. 225)
Asymmetric unit:
Pm1 0.0000 0.0000 0.0000 [4 per cell]  8 Au 3.01
Hg1 0.0000 0.0000 0.5000 [4 per cell]  8 Au 3.01
Au1 0.2500 0.2500 0.2500 [8 per cell]  4 Hg 3.01, 4 Pm 3.01


# 19
# HgPt2Au

HgPt2Au after structural relaxation (PBEsol, Alexandria via LeMat-Bulk).

Properties
Theoretical density (g cm⁻³): 19.7
Formation enthalpy at 0 K (eV per atom): 0.056
Crystal system: orthorhombic
Magnetization (μB/f.u.): 0.00

abc: 2.9913 4.7052 4.7165
angles: 90.00 90.00 90.00
With the nearest neighbours (Å) after each atom.
Space group Pmm2 (No. 25)
Asymmetric unit:
Hg1 0.0000 0.0000 0.0000 [1 per cell]  8 Pt 2.79, 2 Hg 2.99
Pt1 0.5000 0.0000 0.4996 [1 per cell]  4 Hg 2.79, 4 Au 2.79, 2 Pt 2.99
Pt2 0.5000 0.5000 0.0402 [1 per cell]  4 Au 2.77-2.81, 4 Hg 2.79, 2 Pt 2.99
Au1 0.0000 0.5000 0.5352 [1 per cell]  8 Pt 2.77-2.81, 2 Au 2.99


# 20
# HgPt2Au

HgPt2Au after structural relaxation (PBEsol, Alexandria via LeMat-Bulk).

Properties
Theoretical density (g cm⁻³): 19.7
Formation enthalpy at 0 K (eV per atom): 0.054
Crystal system: orthorhombic
Magnetization (μB/f.u.): 0.00

abc: 2.8451 4.8190 4.8543
angles: 90.00 90.00 90.00
With the nearest neighbours (Å) after each atom.
Space group Pmmm (No. 47)
Asymmetric unit:
Hg1 0.0000 0.0000 0.0000 [1 per cell]  4 Pt 2.80, 4 Au 2.81, 2 Hg 2.85
Pt1 0.0000 0.5000 0.5000 [1 per cell]  4 Au 2.80, 6 Pt 2.81-2.85
Pt2 0.5000 0.5000 0.0000 [1 per cell]  4 Hg 2.80, 6 Pt 2.81-2.85
Au1 0.5000 0.0000 0.5000 [1 per cell]  4 Pt 2.80, 4 Hg 2.81, 2 Au 2.85